An optimized crystal structure of Ac2Ge3PRh4. Source: Alexandria via LeMat-Bulk, functional PBE-GGA.

The structure belongs to space group P-4m2 (No. 115); the cell edges are 4.356, 4.356 and 10.206 Å and the angles 90.00°, 90.00° and 90.00°. The inequivalent atoms are Ac at (0.000, 0.500, 0.239), Ge at (0.000, 0.000, 0.000), Ge at (0.000, 0.500, 0.628), P at (0.500, 0.500, 0.000), Rh at (0.000, 0.000, 0.500), Rh at (0.000, 0.500, 0.884) and Rh at (0.500, 0.500, 0.500).

The energy of formation from the pure elements comes out at -890 meV per atom. For the raw total energy, the calculation gives -6.579 eV/atom.

---

An optimized crystal structure of ScCoSi2. Source: Alexandria via LeMat-Bulk, functional PBE-GGA.

The structure belongs to space group Fm-3m (No. 225); the cell edges are 6.116, 6.116 and 6.116 Å and the angles 90.00°, 90.00° and 90.00°. The inequivalent atoms are Sc at (0.000, 0.000, 0.000), Co at (0.000, 0.000, 0.500) and Si at (0.250, 0.250, 0.250).

The uncorrected formation energy comes out at -0.199 eV per atom. For the raw total energy, the calculation gives -6.270 eV/atom.

---

An optimized crystal structure of Nb2Ir2Os. Source: Alexandria via LeMat-Bulk, functional PBE-GGA.

The structure belongs to space group P4/mbm (No. 127); the cell edges are 7.377, 7.377 and 3.032 Å and the angles 90.00°, 90.00° and 90.00°. The inequivalent atoms are Nb at (0.172, 0.328, 0.000), Ir at (0.130, 0.630, 0.500) and Os at (0.000, 0.000, 0.500).

For the excess energy over the best structure of this formula in the dataset, the calculation gives 1.05 eV per formula unit. The energy of formation from the pure elements comes out at -122 meV per atom. For the raw total energy, the calculation gives -9.940 eV/atom.

---

An optimized crystal structure of CdHgMo2Se. Source: Alexandria via LeMat-Bulk, functional PBE-GGA.

The structure belongs to space group P4/mmm (No. 123); the cell edges are 5.484, 5.484 and 5.073 Å and the angles 90.00°, 90.00° and 90.00°. The inequivalent atoms are Cd at (0.000, 0.000, 0.000), Hg at (0.500, 0.500, 0.500), Mo at (0.000, 0.500, 0.000) and Se at (0.000, 0.000, 0.500).

The uncorrected formation energy comes out at 1.840 eV per atom. For the raw total energy, the calculation gives -3.432 eV/atom.

---

- Look up the raw total energy of the second one.
  -6.270 eV/atom

---

- Which value of raw total energy does entry 1 give?
  -6.579 eV/atom

---

Repeat the third record exactly.
An optimized crystal structure of Nb2Ir2Os. Source: Alexandria via LeMat-Bulk, functional PBE-GGA.

The structure belongs to space group P4/mbm (No. 127); the cell edges are 7.377, 7.377 and 3.032 Å and the angles 90.00°, 90.00° and 90.00°. The inequivalent atoms are Nb at (0.172, 0.328, 0.000), Ir at (0.130, 0.630, 0.500) and Os at (0.000, 0.000, 0.500).

For the excess energy over the best structure of this formula in the dataset, the calculation gives 1.05 eV per formula unit. The energy of formation from the pure elements comes out at -122 meV per atom. For the raw total energy, the calculation gives -9.940 eV/atom.

---

- raw total energy of number 2 (ScCoSi2)?
  -6.270 eV/atom